Entry 1:
TiNb3Br: optimized geometry, PBE.

Cell and atoms, written as extended XYZ:
```
5
Lattice="-1.8532 2.5507 -3.6371 -4.2817 -2.0757 0.7259 -1.1838 3.5148 3.0681" Properties=species:S:1:pos:R:3 pbc="T T T"
Nb -2.1409 -1.0379 0.3629
Nb -0.5919 1.7574 1.5341
Nb -0.9266 1.2754 -1.8185
Br -3.6593 1.9949 0.0785
Ti 0.0000 0.0000 0.0000
```

Summary:
Calculated total energy in eV/atom: -6.597
D(E_F) in states/eV/atom: 1.034
Energy relative to the elements, uncorrected in eV per atom: 1.36
Spin magnetization in μB/f.u.: 0.00

=====

Entry 2:
Mn3Ag: optimized geometry, PBE.

Cell and atoms, written as extended XYZ:
```
4
Lattice="-3.8774 2.0527 -0.4770 -1.6327 0.7218 -4.0359 -3.5330 -2.2520 -1.3863" Properties=species:S:1:pos:R:3 pbc="T T T"
Mn -4.5216 0.2613 -2.9496
Ag 0.0000 0.0000 0.0000
Mn -6.7823 0.3919 -4.4244
Mn -2.2608 0.1306 -1.4748
```

Summary:
Calculated total energy in eV/atom: -7.239
D(E_F) in states/eV/atom: 1.034
Spin magnetization in μB/f.u.: 4.07

=====

Entry 3:
CePmNi4: optimized geometry, PBE.

Cell and atoms, written as extended XYZ:
```
6
Lattice="5.1182 0.0000 0.0000 2.5591 4.4325 0.0000 2.5591 1.4775 4.1790" Properties=species:S:1:pos:R:3 pbc="T T T"
Ni 3.8337 3.6966 2.6139
Ni 5.1182 2.9550 0.5163
Ce 0.0000 0.0000 0.0000
Ni 6.4028 3.6966 2.6139
Pm 2.5591 1.4775 1.0448
Ni 5.1182 1.4718 2.6139
```

Summary:
Calculated total energy in eV/atom: -5.981
D(E_F) in states/eV/atom: 0.905
Spin magnetization in μB/f.u.: 0.32

=====

Entry 4:
EuTm2Be: optimized geometry, PBE.

Cell and atoms, written as extended XYZ:
```
4
Lattice="3.4484 0.0000 0.0000 0.0000 3.4484 0.0000 0.0000 0.0000 8.9261" Properties=species:S:1:pos:R:3 pbc="T T T"
Tm 0.0000 0.0000 1.5925
Be 1.7242 1.7242 0.0000
Eu 1.7242 1.7242 4.4630
Tm 0.0000 0.0000 7.3335
```

Summary:
Calculated total energy in eV/atom: -5.635
D(E_F) in states/eV/atom: 1.004
Spin magnetization in μB/f.u.: 7.56

=====

Entry 5:
Ce3Se5: optimized geometry, PBE.

Cell and atoms, written as extended XYZ:
```
16
Lattice="-3.4546 -5.6329 2.1502 -1.5155 -4.1163 -6.6751 5.0410 -6.6513 1.9033" Properties=species:S:1:pos:R:3 pbc="T T T"
Ce -2.5085 -4.2715 1.6197
Se -1.6401 -7.1354 1.5330
Se 0.5532 -12.6308 1.8001
Ce 2.1243 -9.3825 -1.0590
Ce -1.8792 -11.8088 -2.3730
Se 0.8821 -6.7973 -1.7341
Ce -2.0517 -7.0164 -1.5700
Se -1.0951 -4.1066 -0.9745
Se -1.1779 -7.6264 -4.5171
Se -0.4811 -3.7675 -4.4285
Se -0.8096 -9.6017 -0.8942
Ce 4.0953 -8.0131 2.4277
Se 1.7125 -9.2641 -4.1634
Se 1.1684 -12.2924 -1.6537
Ce 1.9519 -4.5900 -0.2560
Se 1.2504 -8.7731 1.8867
```

Summary:
Calculated total energy in eV/atom: -6.140
D(E_F) in states/eV/atom: 1.982
Energy relative to the elements, uncorrected in eV per atom: -1.74
Spin magnetization in μB/f.u.: 2.03

=====

Entry 6:
LiCrTc: optimized geometry, PBE.

Cell and atoms, written as extended XYZ:
```
6
Lattice="4.2946 0.0000 -0.0283 0.0000 4.1145 0.0000 -2.1260 0.0000 4.3878" Properties=species:S:1:pos:R:3 pbc="T T T"
Tc 3.8150 0.0000 0.7992
Cr -0.4739 2.0572 2.1115
Tc 1.6715 0.0000 2.2453
Cr 1.6766 2.0572 3.4605
Li -0.4670 0.0000 3.7062
Li 1.6637 2.0572 0.6100
```

Summary:
Calculated total energy in eV/atom: -7.088
D(E_F) in states/eV/atom: 0.666
Spin magnetization in μB/f.u.: 0.12

=====

Entry 7:
La2SmPd9: optimized geometry, PBE.

Cell and atoms, written as extended XYZ:
```
12
Lattice="-3.7805 -1.3475 -1.2904 1.0611 -3.9513 1.0172 -4.5946 1.7588 11.6246" Properties=species:S:1:pos:R:3 pbc="T T T"
Pd -2.6420 -0.3860 1.2568
Pd -5.7331 0.7973 9.0774
Pd -4.1876 0.2057 5.1671
Pd -1.3597 -2.6494 -0.1366
Pd -0.2212 -1.6879 2.4106
Pd -4.4275 -1.4750 7.6251
La -3.0752 1.1772 7.7803
Sm 0.0000 0.0000 0.0000
Pd -3.3123 -0.5046 10.2312
La -1.5195 0.5816 3.8443
Pd -1.7667 -1.0962 6.3209
Pd -2.8865 -2.0649 3.7264
```

Summary:
Calculated total energy in eV/atom: -5.905
D(E_F) in states/eV/atom: 0.638
Spin magnetization in μB/f.u.: 0.00

=====

Entry 8:
Cu2PRhN: optimized geometry, PBE.

Cell and atoms, written as extended XYZ:
```
5
Lattice="4.8081 0.0000 0.0000 0.0000 3.5744 0.0000 0.0000 0.0000 4.8081" Properties=species:S:1:pos:R:3 pbc="T T T"
P 2.4040 1.7872 2.4040
Cu 0.0000 0.0000 2.4040
N 0.0000 1.7872 0.0000
Rh 0.0000 0.0000 0.0000
Cu 2.4040 0.0000 0.0000
```

Summary:
Calculated total energy in eV/atom: -4.860
D(E_F) in states/eV/atom: 0.577
Energy relative to the elements, uncorrected in eV per atom: 1.00
Spin magnetization in μB/f.u.: 0.00

=====

What is the calculated total energy in the fourth record? -5.635 eV/atom

=====

Which formula does entry 5 have? Ce3Se5